1.
Computed, not measured: an optimized crystal structure of Sc2Si2As at the PBE level of DFT.

a = 6.889 Å, b = 6.889 Å, c = 3.850 Å
α = 90.00°, β = 90.00°, γ = 90.00°
Positions (direct):
Sc 0.178 0.322 0.000
Sc 0.322 0.822 0.000
Sc 0.678 0.178 0.000
Sc 0.822 0.678 0.000
Si 0.120 0.620 0.500
Si 0.380 0.120 0.500
Si 0.620 0.880 0.500
Si 0.880 0.380 0.500
As 0.000 0.000 0.500
As 0.500 0.500 0.500

Output
Size of the total moment (μB per cell): 0.00
Density of states at the Fermi level (states/eV per atom): 0.518
Space group: P4/mbm (127)
Raw formation energy (eV per atom): -0.5925
E above lowest polymorph (meV/atom): 0

---

2.
Computed, not measured: an optimized crystal structure of V6CoMo2 at the PBE level of DFT.

a = 2.663 Å, b = 2.663 Å, c = 20.670 Å
α = 90.00°, β = 90.00°, γ = 120.00°
Positions (direct):
V 0.000 0.000 0.059
V 0.000 0.000 0.292
V 0.000 0.000 0.708
V 0.000 0.000 0.941
V 0.333 0.667 0.403
V 0.333 0.667 0.597
Co 0.000 0.000 0.500
Mo 0.333 0.667 0.175
Mo 0.333 0.667 0.825

Output
Size of the total moment (μB per cell): 0.39
Density of states at the Fermi level (states/eV per atom): 1.441
Space group: P-6m2 (187)
Formation energy (eV per atom): 0.2876

---

3.
Computed, not measured: an optimized crystal structure of Bi2Se3 at the PBE level of DFT.

a = 6.959 Å, b = 6.959 Å, c = 6.959 Å
α = 90.00°, β = 90.00°, γ = 90.00°
Positions (direct):
Bi 0.000 0.000 0.000
Bi 0.000 0.500 0.500
Bi 0.500 0.000 0.500
Bi 0.500 0.500 0.000
Se 0.250 0.250 0.750
Se 0.250 0.750 0.250
Se 0.250 0.750 0.750
Se 0.750 0.250 0.250
Se 0.750 0.250 0.750
Se 0.750 0.750 0.250

Output
Size of the total moment (μB per cell): 0.00
Density of states at the Fermi level (states/eV per atom): 0.317
Space group: Pn-3m (224)
Raw formation energy (eV per atom): -0.0710

---

4.
Computed, not measured: an optimized crystal structure of BeAl2Au7 at the PBE level of DFT.

a = 8.664 Å, b = 8.664 Å, c = 7.786 Å
α = 114.93°, β = 114.93°, γ = 41.77°
Positions (direct):
Be 0.040 0.960 0.750
Be 0.960 0.040 0.250
Al 0.223 0.374 0.287
Al 0.374 0.223 0.787
Al 0.626 0.777 0.213
Al 0.777 0.626 0.713
Au 0.057 0.624 0.654
Au 0.082 0.611 0.022
Au 0.124 0.761 0.428
Au 0.239 0.876 0.072
Au 0.376 0.943 0.846
Au 0.389 0.918 0.478
Au 0.480 0.520 0.750
Au 0.520 0.480 0.250
Au 0.611 0.082 0.522
Au 0.624 0.057 0.154
Au 0.761 0.124 0.928
Au 0.876 0.239 0.572
Au 0.918 0.389 0.978
Au 0.943 0.376 0.346

Output
Size of the total moment (μB per cell): 0.00
Density of states at the Fermi level (states/eV per atom): 0.300
Space group: C2/c (15)
Formation energy (eV per atom): -0.2001

---

5.
Computed, not measured: an optimized crystal structure of Pu8Ir3Ru2 at the PBE level of DFT.

a = 7.450 Å, b = 7.450 Å, c = 5.289 Å
α = 109.13°, β = 109.13°, γ = 82.64°
Positions (direct):
Pu 0.076 0.076 0.277
Pu 0.099 0.581 0.854
Pu 0.361 0.361 0.394
Pu 0.419 0.901 0.146
Pu 0.581 0.099 0.854
Pu 0.639 0.639 0.606
Pu 0.901 0.419 0.146
Pu 0.924 0.924 0.723
Ir 0.234 0.766 0.500
Ir 0.500 0.500 0.000
Ir 0.766 0.234 0.500
Ru 0.207 0.207 0.851
Ru 0.793 0.793 0.149

Output
Size of the total moment (μB per cell): 20.81
Density of states at the Fermi level (states/eV per atom): 3.566
Space group: C2/m (12)
Formation energy (eV per atom): -0.1614

---

6.
Computed, not measured: an optimized crystal structure of Na5B7C3 at the PBE level of DFT.

a = 4.993 Å, b = 8.566 Å, c = 7.691 Å
α = 90.00°, β = 108.91°, γ = 90.00°
Positions (direct):
Na 0.000 0.245 0.000
Na 0.000 0.755 0.000
Na 0.202 0.246 0.401
Na 0.202 0.754 0.401
Na 0.402 0.249 0.800
Na 0.402 0.751 0.800
Na 0.599 0.245 0.200
Na 0.599 0.755 0.200
Na 0.803 0.249 0.599
Na 0.803 0.751 0.599
B 0.066 0.000 0.800
B 0.071 0.500 0.801
B 0.133 0.500 0.599
B 0.284 0.000 0.201
B 0.346 0.500 0.012
B 0.466 0.000 0.600
B 0.484 0.500 0.600
B 0.512 0.500 0.382
B 0.658 0.000 0.988
B 0.731 0.500 0.817
B 0.868 0.500 0.398
B 0.870 0.000 0.412
B 0.933 0.000 0.200
B 0.933 0.500 0.188
C 0.132 0.000 0.606
C 0.259 0.500 0.196
C 0.332 0.000 0.997
C 0.535 0.000 0.403
C 0.663 0.500 0.004
C 0.726 0.000 0.794

Output
Size of the total moment (μB per cell): 0.00
Density of states at the Fermi level (states/eV per atom): 0.084
Space group: Pm (6)
Formation energy (eV per atom): 0.1457
E above lowest polymorph (meV/atom): 33